# 1
# SmDyOsAu

SmDyOsAu after structural relaxation (PBE, Alexandria).

The space group is F-43m (No. 216) and the conventional cell measures 7.066, 7.066 and 7.066 Å, with angles of 90.00, 90.00 and 90.00 degrees. The inequivalent atoms are Sm at (0.000, 0.000, 0.000), Dy at (0.000, 0.000, 0.500), Os at (0.250, 0.250, 0.750) and Au at (0.250, 0.250, 0.250).

The density of states at the Fermi level is 0.668 states/eV/atom. The calculated density is 13.2 g/cm3. As for the energy of formation from the pure elements: -0.413 eV/atom.

---

# 2
# TbDyOsAu

TbDyOsAu after structural relaxation (PBE, Alexandria).

The space group is F-43m (No. 216) and the conventional cell measures 7.005, 7.005 and 7.005 Å, with angles of 90.00, 90.00 and 90.00 degrees. The inequivalent atoms are Tb at (0.000, 0.000, 0.000), Dy at (0.000, 0.000, 0.500), Os at (0.250, 0.250, 0.750) and Au at (0.250, 0.250, 0.250).

The density of states at the Fermi level is 0.497 states/eV/atom. The calculated density is 13.7 g/cm3. As for the energy of formation from the pure elements: -0.470 eV/atom.